(1)
# PBE-GGA Ca2CePuBi4, optimized geometry
data_Ca2CePuBi4
_chemical_formula_sum 'Ca2 Ce1 Pu1 Bi4'
_symmetry_space_group_name_H-M 'P 1 2/m 1'
_symmetry_Int_Tables_number 10
_symmetry_space_group_name_Hall '-P 2y'
_cell_length_a 7.834
_cell_length_b 4.648
_cell_length_c 8.003
_cell_angle_alpha 90.00
_cell_angle_beta 110.15
_cell_angle_gamma 90.00
loop_
_atom_site_label
_atom_site_type_symbol
_atom_site_fract_x
_atom_site_fract_y
_atom_site_fract_z
_atom_site_occupancy
Ca1 Ca 0.000 0.000 0.000 1
Ca2 Ca 0.000 0.500 0.500 1
Ce1 Ce 0.500 0.000 0.500 1
Pu1 Pu 0.500 0.500 0.000 1
Bi1 Bi 0.262 0.500 0.254 1
Bi2 Bi 0.263 0.000 0.755 1
# - Crystal system: monoclinic

***

(2)
# PBE-GGA CaCe2ScBi4, optimized geometry
data_CaCe2ScBi4
_chemical_formula_sum 'Ca1 Ce2 Sc1 Bi4'
_symmetry_space_group_name_H-M 'P 1 2/m 1'
_symmetry_Int_Tables_number 10
_symmetry_space_group_name_Hall '-P 2y'
_cell_length_a 7.690
_cell_length_b 4.545
_cell_length_c 7.910
_cell_angle_alpha 90.00
_cell_angle_beta 109.75
_cell_angle_gamma 90.00
loop_
_atom_site_label
_atom_site_type_symbol
_atom_site_fract_x
_atom_site_fract_y
_atom_site_fract_z
_atom_site_occupancy
Ca1 Ca 0.000 0.000 0.000 1
Ce1 Ce 0.500 0.000 0.500 1
Ce2 Ce 0.500 0.500 0.000 1
Sc1 Sc 0.000 0.500 0.500 1
Bi1 Bi 0.237 0.000 0.736 1
Bi2 Bi 0.246 0.500 0.259 1
# - Crystal system: monoclinic

***

Number 1: formation energy from the elements -0.631 eV/atom, electronic total energy -0.206 hartree per atom. Number 2: formation energy from the elements -0.740 eV/atom, electronic total energy -0.191 hartree per atom.